## HfS2ClF (PBEsol)

Data for a relaxed HfS2ClF crystal.

Calculated values
The energy relative to the elements, uncorrected comes out at -70 kJ per mole of atoms. The volume comes out at 115 Å³ per cell. Its total energy is -5.37 eV per atom. Its crystal system is tetragonal.

```
data_HfS2ClF
_cell_length_a 4.866
_cell_length_b 4.866
_cell_length_c 4.854
_cell_angle_alpha 90.00
_cell_angle_beta 90.00
_cell_angle_gamma 90.00
_space_group_name_H-M_alt 'P 4/m m m'
_space_group_IT_number 123
_space_group_name_Hall '-P 4 2'
loop_
_atom_site_label
_atom_site_type_symbol
_atom_site_fract_x
_atom_site_fract_y
_atom_site_fract_z
Hf1 Hf 0.000 0.000 0.000
S1 S 0.000 0.500 0.000
Cl1 Cl 0.000 0.000 0.500
F1 F 0.500 0.500 0.500
```